(1)
Below is crystalline SrSe2F8 at its relaxed geometry, with properties calculated at the PBE-GGA level.

Properties
**Magnetization**: 0.00 μB per formula unit
**DOS(E_F)**: 0.000 states/eV per atom
**Final energy**: -47.351 eV for the cell shown

Lattice parameters (Å, degrees): 5.6828 5.9839 7.5176 128.97 90.53 79.48
Fractional coordinates of all 11 atoms:
Sr: 0.0000 0.0000 0.0000
Se: 0.2622 0.1080 0.5534
Se: 0.7378 0.8920 0.4466
F: 0.2282 0.7132 0.3471
F: 0.7718 0.2868 0.6529
F: 0.7423 0.9025 0.1938
F: 0.2538 0.1246 0.3036
F: 0.2878 0.5206 0.7676
F: 0.2577 0.0975 0.8062
F: 0.7462 0.8754 0.6963
F: 0.7122 0.4794 0.2324

(2)
Below is crystalline CeYBi at its relaxed geometry, with properties calculated at the PBE-GGA level.

Properties
**Magnetization**: 0.11 μB per formula unit
**Energy of formation**: -369 meV/atom
**DOS(E_F)**: 2.177 states/eV per atom
**Final energy**: -104.316 eV for the cell shown

Lattice parameters (Å, degrees): 4.0955 11.6563 11.8889 90.00 90.00 90.00
Last column: magnetic moment on the atom in μB.
Fractional coordinates of all 18 atoms:
Bi: 0.0000 0.1639 0.9402  0.01
Bi: 0.0000 0.8361 0.0598  0.01
Bi: 0.0000 0.1639 0.5598  0.01
Bi: 0.0000 0.8361 0.4402  0.01
Bi: 0.0000 0.2781 0.2500  0.01
Bi: 0.0000 0.7219 0.7500  0.01
Ce: 0.5000 0.0733 0.1365  -0.87
Ce: 0.5000 0.9267 0.8635  -0.87
Ce: 0.5000 0.0733 0.3635  -0.87
Ce: 0.5000 0.9267 0.6365  -0.87
Ce: 0.0000 0.5610 0.2500  1.00
Ce: 0.0000 0.4390 0.7500  1.00
Y: 0.5000 0.3627 0.0476  0.09
Y: 0.5000 0.6373 0.9524  0.09
Y: 0.5000 0.3627 0.4524  0.09
Y: 0.5000 0.6373 0.5476  0.09
Y: 0.5000 0.7993 0.2500  0.02
Y: 0.5000 0.2007 0.7500  0.02

(3)
Below is crystalline Pr8Sm2Sc3 at its relaxed geometry, with properties calculated at the PBE-GGA level.

Properties
**Magnetization**: 0.00 μB per formula unit
**Energy of formation**: 176 meV/atom
**DOS(E_F)**: 1.523 states/eV per atom
**Final energy**: -64.386 eV for the cell shown

Lattice parameters (Å, degrees): 6.0431 8.8903 8.8903 81.35 72.93 72.93
Fractional coordinates of all 13 atoms:
Pr: 0.2361 0.5840 0.5840
Pr: 0.7639 0.4160 0.4160
Pr: 0.8854 0.1357 0.1357
Pr: 0.1146 0.8643 0.8643
Pr: 0.6470 0.6115 0.0810
Pr: 0.6470 0.0810 0.6115
Pr: 0.3530 0.9190 0.3885
Pr: 0.3530 0.3885 0.9190
Sm: 0.3299 0.3153 0.3153
Sm: 0.6701 0.6847 0.6847
Sc: 0.5000 0.0000 0.0000
Sc: 0.0000 0.2656 0.7344
Sc: 0.0000 0.7344 0.2656